Entry from Alexandria: LiInSn2Br6 after structural relaxation (PBE).

## Properties
- uncorrected formation energy (meV per atom) = -870
- total DFT energy (no corrections) (eV/cell) = -31.4

a b c (Å): 7.528 7.524 8.232
angles (deg): 62.75 62.75 59.93
Fractional positions:
Br 0.929 0.577 0.236
Br 0.143 0.369 0.765
Br 0.723 0.142 0.766
Br 0.258 0.929 0.236
Br 0.369 0.723 0.765
Br 0.577 0.258 0.235
Sn 0.005 0.005 0.986
Sn 0.518 0.519 0.445
In 0.810 0.810 0.568
Li 0.329 0.329 0.013